LiHfC: optimized geometry, PBE.

Computed properties:
**Space group**: No. 160
**ΔH_f (0 K)**: -0.253 eV per atom
**Polymorph energy (0 for the lowest one)**: 0.200 eV/atom

a b c (Å): 8.8057 8.8057 8.8057
angles (deg): 21.93 21.93 21.93
Positions (direct):
Li1 0.0000 0.0000 0.0000
Li2 0.3912 0.3912 0.3912
Hf1 0.2574 0.2574 0.2574
Hf2 0.8220 0.8220 0.8220
C1 0.5289 0.5289 0.5289
C2 0.6340 0.6340 0.6340